Computed, not measured: a PBEsol-optimized structure of Sr2CuHgIr at the SCAN level of DFT.

Computed properties:
The calculation puts the density of states at the Fermi level at 2.477 states/eV/cell. The energy of formation from the pure elements is 0.1555 eV/atom. As for the total magnetization: 0.0 μB per formula unit. The electronic total energy comes out at -198.24 eV/f.u.

Unit cell a=5.109 b=5.632 c=5.632 alpha=90.00 beta=90.00 gamma=90.00
Positions (direct):
1 Ir 0.000 0.000 0.000
2 Hg 0.500 0.000 0.000
3 Cu 0.500 0.500 0.500
4 Sr 0.000 0.500 0.000
5 Sr 0.000 0.000 0.500

***

Computed, not measured: a PBEsol-optimized structure of KCuHg at the SCAN level of DFT.

Computed properties:
The calculation puts the density of states at the Fermi level at 0.904 states/eV/cell. The energy of formation from the pure elements is 0.0634 eV/atom. As for the total magnetization: 0.0 μB per formula unit. The electronic total energy comes out at -91.50 eV/f.u.

Unit cell a=3.621 b=3.621 c=6.404 alpha=106.42 beta=106.42 gamma=90.00
Positions (direct):
1 Cu 0.936 0.936 0.873
2 Hg 0.394 0.394 0.788
3 K 0.670 0.670 0.339

***

Computed, not measured: a PBEsol-optimized structure of KCuHg3 at the SCAN level of DFT.

Computed properties:
The calculation puts the density of states at the Fermi level at 2.132 states/eV/cell. The energy of formation from the pure elements is -0.1474 eV/atom. As for the total magnetization: 0.0 μB per formula unit. The electronic total energy comes out at -228.76 eV/f.u.

Unit cell a=5.092 b=5.092 c=5.092 alpha=90.00 beta=90.00 gamma=90.00
Positions (direct):
1 Hg 0.000 0.500 0.000
2 Cu 0.000 0.000 0.000
3 Hg 0.500 0.000 0.000
4 K 0.500 0.500 0.500
5 Hg 0.000 0.000 0.500

***

The highest energy of formation from the pure elements belongs to which entry?
Sr2CuHgIr

***

Look up the energy of formation from the pure elements of the second one.
0.0634 eV/atom